Entry 1:
A plane-wave DFT calculation with PBE was carried out for an optimized crystal structure of Ni12PtRh6.

abc: 6.282 6.282 6.282
angles: 92.51 92.51 92.51
Last column: magnetic moment on the atom in μB.
Positions (direct):
Ni (0.785, 0.535, 0.452)  0.87
Ni (0.452, 0.785, 0.535)  0.87
Ni (0.535, 0.452, 0.785)  0.87
Ni (0.215, 0.465, 0.548)  0.87
Ni (0.548, 0.215, 0.465)  0.87
Ni (0.465, 0.548, 0.215)  0.87
Ni (0.058, 0.144, 0.376)  0.83
Ni (0.856, 0.624, 0.942)  0.83
Ni (0.624, 0.942, 0.856)  0.83
Ni (0.942, 0.856, 0.624)  0.83
Ni (0.144, 0.376, 0.058)  0.83
Ni (0.376, 0.058, 0.144)  0.83
Pt (0.000, 0.000, 0.000)  0.35
Rh (0.713, 0.883, 0.270)  0.83
Rh (0.730, 0.287, 0.117)  0.83
Rh (0.117, 0.730, 0.287)  0.83
Rh (0.287, 0.117, 0.730)  0.83
Rh (0.270, 0.713, 0.883)  0.83
Rh (0.883, 0.270, 0.713)  0.83

**N(E_F)**: 29.3 states/eV per cell
**Magnetization**: 15.07 μB/cell
**Symmetry**: No. 148
**Formation enthalpy at 0 K**: 18 kJ/mol of atoms

Entry 2:
A plane-wave DFT calculation with PBE was carried out for an optimized crystal structure of Ni5PtRh.

abc: 6.232 6.232 6.232
angles: 108.53 103.13 117.07
Last column: magnetic moment on the atom in μB.
Positions (direct):
Ni (0.241, 0.760, 0.980)  0.77
Ni (0.500, 0.747, 0.747)  0.75
Ni (0.220, 0.240, 0.480)  0.77
Ni (0.708, 0.958, 0.250)  0.81
Ni (0.000, 0.253, 0.753)  0.75
Ni (0.000, 0.747, 0.247)  0.75
Ni (0.292, 0.042, 0.750)  0.81
Ni (0.780, 0.760, 0.520)  0.77
Ni (0.500, 0.253, 0.253)  0.75
Ni (0.759, 0.240, 0.020)  0.77
Pt (0.000, 0.000, 0.000)  0.40
Pt (0.000, 0.500, 0.500)  0.40
Rh (0.304, 0.554, 0.250)  0.78
Rh (0.696, 0.446, 0.750)  0.78

**N(E_F)**: 19.6 states/eV per cell
**Magnetization**: 9.70 μB/cell
**Symmetry**: No. 74
**Formation enthalpy at 0 K**: 16 kJ/mol of atoms

Entry 3:
A plane-wave DFT calculation with PBE was carried out for an optimized crystal structure of Ni2Pt5Rh4.

abc: 5.337 5.337 8.461
angles: 58.85 58.85 59.98
Last column: magnetic moment on the atom in μB.
Positions (direct):
Ni (0.177, 0.177, 0.860)  0.68
Ni (0.823, 0.823, 0.140)  0.68
Pt (0.699, 0.201, 0.807)  0.15
Pt (0.301, 0.799, 0.193)  0.15
Pt (0.000, 0.000, 0.500)  0.07
Pt (0.201, 0.699, 0.807)  0.15
Pt (0.799, 0.301, 0.193)  0.15
Rh (0.275, 0.275, 0.517)  0.41
Rh (0.725, 0.725, 0.483)  0.41
Rh (0.675, 0.675, 0.852)  0.18
Rh (0.325, 0.325, 0.148)  0.18

**N(E_F)**: 19.9 states/eV per cell
**Magnetization**: 3.20 μB/cell
**Symmetry**: No. 12
**Formation enthalpy at 0 K**: 14 kJ/mol of atoms

- Look up the N(E_F) of the first one.
  29.3 states/eV per cell

- magnetization of number 1 (Ni12PtRh6)?
  15.07 μB/cell

- Number 2 is which compound?
  Ni5PtRh

- What is the N(E_F) in the second record?
  19.6 states/eV per cell